No. 1
The following is a PBE calculation of a relaxed structure of LiAcY2Hg4, from the Alexandria database.

Cell and atoms, written as POSCAR:
```
LiAcY2Hg4
1.0
-4.007 -0.761 3.188
0.265 -3.647 3.665
2.272 4.714 8.184
Li Ac Y Hg
1 1 2 4
Cartesian
-0.735 0.153 7.518
0.000 0.000 0.000
-1.223 0.019 11.078
-0.248 0.286 3.959
0.410 2.166 9.439
-2.392 -2.036 9.116
0.922 2.342 5.920
-1.881 -1.861 5.598
```

- magnetization (μB/cell) = 0.00
- E_form (meV/atom) = -433.1

***

No. 2
The following is a PBE calculation of a relaxed structure of HoHgAu, from the Alexandria database.

Cell and atoms, written as POSCAR:
```
HoHgAu
1.0
4.785 0.000 0.000
2.393 4.144 0.000
2.393 1.381 3.907
Au Hg Ho
1 1 1
Cartesian
2.393 1.381 0.977
4.785 2.763 1.954
0.000 0.000 0.000
```

- magnetization (μB/cell) = 0.00
- E_form (meV/atom) = -512.3

***

No. 3
The following is a PBE calculation of a relaxed structure of Sc2Al3Ga, from the Alexandria database.

Cell and atoms, written as POSCAR:
```
Sc2Al3Ga
1.0
-3.346 3.964 1.731
-1.858 -1.953 -4.758
-1.623 -6.229 5.308
Sc Al Ga
4 6 2
Cartesian
-3.042 -3.588 -0.482
-3.900 1.507 -2.268
-3.786 -0.630 2.763
-1.304 0.504 -0.759
-3.887 -2.875 4.773
-3.681 1.602 0.738
-2.940 -1.343 -2.492
-3.147 -5.820 1.543
-5.413 -2.469 1.010
-1.415 -1.749 1.271
-2.816 -3.481 2.529
-4.012 -0.737 -0.248
```

- distance to the lowest polymorph of the same formula (meV/atom) = 6
- magnetization (μB/cell) = 0.00
- E_form (meV/atom) = -492.1